# 1
Mg2MnGeI SCAN single point on PBEsol structure; volume = 29.7 A^3/atom; density = 3.39 g/cm3; energy relative to the elements, uncorrected = 432 meV per atom; excess energy over the best structure of this formula in the dataset = 248 meV per atom
1.0
5.037 0.000 0.000
0.000 5.037 0.000
0.000 0.000 5.844
Mg Mn Ge I
2 1 1 1
direct
0.000 0.500 0.000
0.500 0.000 0.000
0.000 0.000 0.500
0.500 0.500 0.000
0.500 0.500 0.500

***

# 2
MgGe2OsI SCAN single point on PBEsol structure; volume = 22.6 A^3/atom; density = 7.14 g/cm3; energy relative to the elements, uncorrected = 1540 meV per atom
1.0
4.838 0.000 0.000
0.000 4.838 0.000
0.000 0.000 4.838
Mg Ge Os I
1 2 1 1
direct
0.000 0.000 0.000
0.000 0.500 0.000
0.500 0.000 0.000
0.000 0.000 0.500
0.500 0.500 0.500

***

# 3
MgGeOs2I SCAN single point on PBEsol structure; volume = 22.4 A^3/atom; density = 8.96 g/cm3; energy relative to the elements, uncorrected = 2366 meV per atom
1.0
4.713 0.000 0.000
0.000 4.713 0.000
0.000 0.000 5.042
Mg Ge Os I
1 1 2 1
direct
0.000 0.000 0.000
0.500 0.500 0.500
0.000 0.500 0.000
0.500 0.000 0.000
0.000 0.000 0.500

***

# 4
Mn3GeI SCAN single point on PBEsol structure; volume = 21.0 A^3/atom; density = 5.78 g/cm3; energy relative to the elements, uncorrected = 1270 meV per atom
1.0
4.714 0.000 0.000
0.000 4.714 0.000
0.000 0.000 4.714
Mn Ge I
3 1 1
direct
0.000 0.000 0.500
0.000 0.500 0.000
0.500 0.000 0.000
0.500 0.500 0.500
0.000 0.000 0.000

***

# 5
MnGeI2N SCAN single point on PBEsol structure; volume = 20.5 A^3/atom; density = 6.42 g/cm3; energy relative to the elements, uncorrected = 363 meV per atom
1.0
5.379 0.000 0.000
0.000 5.379 0.000
0.000 0.000 3.535
Mn Ge I N
1 1 2 1
direct
0.000 0.000 0.000
0.500 0.500 0.500
0.000 0.500 0.000
0.500 0.000 0.000
0.000 0.000 0.500

***

# 6
MnGeI2O SCAN single point on PBEsol structure; volume = 24.3 A^3/atom; density = 5.44 g/cm3; energy relative to the elements, uncorrected = -144 meV per atom
1.0
5.713 0.000 0.000
0.000 5.713 0.000
0.000 0.000 3.720
Mn Ge I O
1 1 2 1
direct
0.000 0.000 0.000
0.500 0.500 0.500
0.000 0.500 0.500
0.500 0.000 0.500
0.500 0.500 0.000

***

# 7
Mn2GeSeI SCAN single point on PBEsol structure; volume = 25.6 A^3/atom; density = 5.04 g/cm3; energy relative to the elements, uncorrected = 1052 meV per atom
1.0
4.820 0.000 0.000
0.000 4.820 0.000
0.000 0.000 5.507
Mn Ge Se I
2 1 1 1
direct
0.000 0.500 0.000
0.500 0.000 0.000
0.000 0.000 0.500
0.500 0.500 0.500
0.000 0.000 0.000

***

# 8
GeI2N2 SCAN single point on PBEsol structure; volume = 21.5 A^3/atom; density = 5.48 g/cm3; energy relative to the elements, uncorrected = 1526 meV per atom
1.0
4.055 0.000 0.000
0.000 4.055 0.000
0.000 0.000 6.537
Ge I N
1 2 2
direct
0.000 0.000 0.000
0.000 0.000 0.500
0.500 0.500 0.500
0.000 0.500 0.000
0.500 0.000 0.000

***

# 9
NiGeIN2 SCAN single point on PBEsol structure; volume = 15.8 A^3/atom; density = 6.03 g/cm3; energy relative to the elements, uncorrected = 1356 meV per atom
1.0
3.896 0.000 0.000
0.000 3.896 0.000
0.000 0.000 5.189
Ni Ge I N
1 1 1 2
direct
0.000 0.000 0.000
0.500 0.500 0.500
0.000 0.000 0.500
0.000 0.500 0.000
0.500 0.000 0.000

***

# 10
ReGeI2N SCAN single point on PBEsol structure; volume = 22.4 A^3/atom; density = 7.80 g/cm3; energy relative to the elements, uncorrected = 1644 meV per atom
1.0
5.696 0.000 0.000
0.000 5.696 0.000
0.000 0.000 3.456
Re Ge I N
1 1 2 1
direct
0.000 0.000 0.000
0.500 0.500 0.500
0.000 0.500 0.500
0.500 0.000 0.500
0.500 0.500 0.000

***

# 11
GeSe2IN SCAN single point on PBEsol structure; volume = 19.8 A^3/atom; density = 6.24 g/cm3; energy relative to the elements, uncorrected = 846 meV per atom
1.0
5.241 0.000 0.000
0.000 5.241 0.000
0.000 0.000 3.597
Ge Se I N
1 2 1 1
direct
0.000 0.000 0.000
0.000 0.500 0.000
0.500 0.000 0.000
0.500 0.500 0.500
0.000 0.000 0.500

***

# 12
GeSeI2N SCAN single point on PBEsol structure; volume = 25.3 A^3/atom; density = 5.50 g/cm3; energy relative to the elements, uncorrected = 965 meV per atom
1.0
5.881 0.000 0.000
0.000 5.881 0.000
0.000 0.000 3.663
Ge Se I N
1 1 2 1
direct
0.000 0.000 0.000
0.500 0.500 0.500
0.000 0.500 0.500
0.500 0.000 0.500
0.500 0.500 0.000

***

# 13
SnGeIN2 SCAN single point on PBEsol structure; volume = 20.4 A^3/atom; density = 5.64 g/cm3; energy relative to the elements, uncorrected = 1378 meV per atom; excess energy over the best structure of this formula in the dataset = 19 meV per atom
1.0
4.138 0.000 0.000
0.000 4.138 0.000
0.000 0.000 5.949
Sn Ge I N
1 1 1 2
direct
0.000 0.000 0.000
0.500 0.500 0.500
0.000 0.000 0.500
0.000 0.500 0.000
0.500 0.000 0.000

***

# 14
SnGeIN2 SCAN single point on PBEsol structure; volume = 18.3 A^3/atom; density = 6.29 g/cm3; energy relative to the elements, uncorrected = 1359 meV per atom; excess energy over the best structure of this formula in the dataset = 0 meV per atom
1.0
4.080 0.000 0.000
0.000 4.080 0.000
0.000 0.000 5.490
Sn Ge I N
1 1 1 2
direct
0.000 0.000 0.000
0.500 0.500 0.500
0.500 0.500 0.000
0.000 0.500 0.500
0.500 0.000 0.500

***

# 15
TaGeI2N SCAN single point on PBEsol structure; volume = 24.1 A^3/atom; density = 7.18 g/cm3; energy relative to the elements, uncorrected = 373 meV per atom
1.0
5.573 0.000 0.000
0.000 5.573 0.000
0.000 0.000 3.884
Ta Ge I N
1 1 2 1
direct
0.000 0.000 0.000
0.500 0.500 0.500
0.000 0.500 0.000
0.500 0.000 0.000
0.000 0.000 0.500